# K2H3IrNCl5

K2H3IrNCl5 after structural relaxation (PBEsol, Alexandria via LeMat-Bulk). Values from VASP.

Values from the calculation:
VASP energy = -4.417 eV/atom

```
&SYSTEM
  ibrav = 0, nat = 48, ntyp = 5
/
ATOMIC_SPECIES
H 1.01 H.upf
Cl 35.45 Cl.upf
K 39.10 K.upf
N 14.01 N.upf
Ir 192.22 Ir.upf
ATOMIC_POSITIONS crystal
H 0.609 0.750 0.579
H 0.453 0.662 0.517
H 0.047 0.662 0.017
H 0.391 0.250 0.421
H 0.047 0.838 0.017
H 0.453 0.838 0.517
H 0.547 0.338 0.483
H 0.891 0.750 0.079
H 0.547 0.162 0.483
H 0.109 0.250 0.921
H 0.953 0.338 0.983
H 0.953 0.162 0.983
Cl 0.804 0.504 0.892
Cl 0.377 0.250 0.254
Cl 0.196 0.496 0.108
Cl 0.071 0.750 0.793
Cl 0.696 0.504 0.392
Cl 0.196 0.004 0.108
Cl 0.451 0.250 0.008
Cl 0.304 0.496 0.608
Cl 0.696 0.996 0.392
Cl 0.804 0.996 0.892
Cl 0.304 0.004 0.608
Cl 0.571 0.250 0.707
Cl 0.123 0.250 0.754
Cl 0.549 0.750 0.992
Cl 0.929 0.250 0.207
Cl 0.049 0.250 0.508
Cl 0.951 0.750 0.492
Cl 0.623 0.750 0.746
Cl 0.429 0.750 0.293
Cl 0.877 0.750 0.246
K 0.888 0.497 0.658
K 0.388 0.503 0.842
K 0.112 0.503 0.342
K 0.612 0.003 0.158
K 0.888 0.003 0.658
K 0.112 0.997 0.342
K 0.612 0.497 0.158
K 0.388 0.997 0.842
N 0.535 0.750 0.513
N 0.035 0.250 0.987
N 0.965 0.750 0.013
N 0.465 0.250 0.487
Ir 0.806 0.750 0.890
Ir 0.306 0.250 0.610
Ir 0.694 0.750 0.390
Ir 0.194 0.250 0.110
CELL_PARAMETERS angstrom
7.410 0.000 0.000
0.000 9.502 0.000
0.000 0.000 13.451
```

# K2H2IrCl5O

K2H2IrCl5O after structural relaxation (PBEsol, Alexandria via LeMat-Bulk). Values from VASP.

Values from the calculation:
VASP energy = -4.281 eV/atom

```
&SYSTEM
  ibrav = 0, nat = 44, ntyp = 5
/
ATOMIC_SPECIES
K 39.10 K.upf
O 16.00 O.upf
H 1.01 H.upf
Cl 35.45 Cl.upf
Ir 192.22 Ir.upf
ATOMIC_POSITIONS crystal
K 0.619 0.998 0.655
K 0.619 0.502 0.655
K 0.881 0.502 0.155
K 0.119 0.002 0.845
K 0.381 0.002 0.345
K 0.381 0.498 0.345
K 0.881 0.998 0.155
K 0.119 0.498 0.845
O 0.444 0.250 0.970
O 0.556 0.750 0.030
O 0.056 0.250 0.470
O 0.944 0.750 0.530
H 0.479 0.840 0.041
H 0.521 0.340 0.959
H 0.021 0.660 0.541
H 0.979 0.340 0.459
H 0.521 0.160 0.959
H 0.979 0.160 0.459
H 0.479 0.660 0.041
H 0.021 0.840 0.541
Cl 0.430 0.750 0.807
Cl 0.043 0.250 0.009
Cl 0.800 0.488 0.400
Cl 0.361 0.250 0.745
Cl 0.543 0.750 0.491
Cl 0.930 0.250 0.693
Cl 0.200 0.512 0.600
Cl 0.457 0.250 0.509
Cl 0.861 0.750 0.755
Cl 0.700 0.012 0.900
Cl 0.070 0.750 0.307
Cl 0.639 0.750 0.255
Cl 0.570 0.250 0.193
Cl 0.957 0.750 0.991
Cl 0.700 0.488 0.900
Cl 0.139 0.250 0.245
Cl 0.300 0.512 0.100
Cl 0.200 0.988 0.600
Cl 0.300 0.988 0.100
Cl 0.800 0.012 0.400
Ir 0.305 0.250 0.102
Ir 0.695 0.750 0.898
Ir 0.195 0.250 0.602
Ir 0.805 0.750 0.398
CELL_PARAMETERS angstrom
7.536 0.000 0.000
0.000 8.918 0.000
0.000 0.000 13.524
```

# HIrS2Cl

HIrS2Cl after structural relaxation (PBEsol, Alexandria via LeMat-Bulk). Values from VASP.

Values from the calculation:
VASP energy = -3.719 eV/atom

```
&SYSTEM
  ibrav = 0, nat = 5, ntyp = 4
/
ATOMIC_SPECIES
H 1.01 H.upf
Cl 35.45 Cl.upf
Ir 192.22 Ir.upf
S 32.06 S.upf
ATOMIC_POSITIONS crystal
H 0.000 0.000 0.000
Cl 0.000 0.000 0.500
Ir 0.500 0.500 0.500
S 0.000 0.500 0.000
S 0.500 0.000 0.000
CELL_PARAMETERS angstrom
3.535 0.000 0.000
0.000 3.535 0.000
0.000 0.000 5.717
```

# KHCl2

KHCl2 after structural relaxation (PBEsol, Alexandria via LeMat-Bulk). Values from VASP.

Values from the calculation:
VASP energy = -3.362 eV/atom

```
&SYSTEM
  ibrav = 0, nat = 4, ntyp = 3
/
ATOMIC_SPECIES
Cl 35.45 Cl.upf
K 39.10 K.upf
H 1.01 H.upf
ATOMIC_POSITIONS crystal
Cl 0.912 0.912 0.263
Cl 0.088 0.088 0.737
K 0.500 0.500 0.500
H 0.000 0.000 0.000
CELL_PARAMETERS angstrom
-3.640 -2.900 -1.310
-0.573 -1.212 -4.645
2.055 -6.075 -1.184
```

# K2HCl

K2HCl after structural relaxation (PBEsol, Alexandria via LeMat-Bulk). Values from VASP.

Values from the calculation:
VASP energy = -2.883 eV/atom

```
&SYSTEM
  ibrav = 0, nat = 8, ntyp = 3
/
ATOMIC_SPECIES
H 1.01 H.upf
Cl 35.45 Cl.upf
K 39.10 K.upf
ATOMIC_POSITIONS crystal
H 0.000 0.500 0.500
H 0.500 0.250 0.750
Cl 0.000 0.000 0.000
Cl 0.500 0.750 0.250
K 0.956 0.375 0.831
K 0.044 0.875 0.419
K 0.544 0.169 0.125
K 0.456 0.581 0.625
CELL_PARAMETERS angstrom
6.697 0.078 0.120
-2.719 6.120 -0.120
-2.719 -2.630 5.528
```

# KMnH4Cl3O2

KMnH4Cl3O2 after structural relaxation (PBEsol, Alexandria via LeMat-Bulk). Values from VASP.

Values from the calculation:
VASP energy = -4.895 eV/atom

```
&SYSTEM
  ibrav = 0, nat = 22, ntyp = 5
/
ATOMIC_SPECIES
O 16.00 O.upf
H 1.01 H.upf
Cl 35.45 Cl.upf
K 39.10 K.upf
Mn 54.94 Mn.upf
ATOMIC_POSITIONS crystal
O 0.524 0.773 0.836
O 0.265 0.715 0.480
O 0.476 0.227 0.164
O 0.735 0.285 0.520
H 0.640 0.205 0.185
H 0.455 0.246 0.051
H 0.360 0.795 0.815
H 0.096 0.767 0.490
H 0.545 0.754 0.949
H 0.904 0.233 0.510
H 0.343 0.590 0.585
H 0.657 0.410 0.415
Cl 0.243 0.200 0.498
Cl 0.001 0.851 0.833
Cl 0.568 0.695 0.191
Cl 0.432 0.305 0.809
Cl 0.757 0.800 0.502
Cl 0.999 0.149 0.167
K 0.094 0.634 0.197
K 0.906 0.366 0.803
Mn 0.380 0.964 0.326
Mn 0.620 0.036 0.674
CELL_PARAMETERS angstrom
6.294 0.001 0.038
2.616 6.353 -0.022
0.191 3.507 8.414
```

# K2MnH4Cl4O2

K2MnH4Cl4O2 after structural relaxation (PBEsol, Alexandria via LeMat-Bulk). Values from VASP.

Values from the calculation:
VASP energy = -4.666 eV/atom

```
&SYSTEM
  ibrav = 0, nat = 13, ntyp = 5
/
ATOMIC_SPECIES
K 39.10 K.upf
H 1.01 H.upf
O 16.00 O.upf
Cl 35.45 Cl.upf
Mn 54.94 Mn.upf
ATOMIC_POSITIONS crystal
K 0.500 0.750 0.250
K 0.500 0.250 0.750
H 0.000 0.417 0.262
H 0.000 0.262 0.417
H 0.156 0.738 0.738
H 0.844 0.583 0.583
O 0.000 0.734 0.734
O 0.000 0.266 0.266
Cl 0.490 0.252 0.252
Cl 0.000 0.748 0.238
Cl 0.000 0.238 0.748
Cl 0.510 0.762 0.762
Mn 0.000 0.000 0.000
CELL_PARAMETERS angstrom
-5.816 -0.034 2.922
4.540 -3.123 3.463
2.423 6.006 -0.647
```

# K3HPdS2Cl2O6

K3HPdS2Cl2O6 after structural relaxation (PBEsol, Alexandria via LeMat-Bulk). Values from VASP.

Values from the calculation:
VASP energy = -5.295 eV/atom

```
&SYSTEM
  ibrav = 0, nat = 30, ntyp = 6
/
ATOMIC_SPECIES
S 32.06 S.upf
O 16.00 O.upf
Cl 35.45 Cl.upf
K 39.10 K.upf
Pd 106.42 Pd.upf
H 1.01 H.upf
ATOMIC_POSITIONS crystal
S 0.407 0.540 0.759
S 0.907 0.241 0.460
S 0.407 0.759 0.540
S 0.907 0.460 0.241
O 0.473 0.595 0.436
O 0.294 0.819 0.438
O 0.079 0.401 0.142
O 0.473 0.436 0.595
O 0.794 0.181 0.562
O 0.973 0.564 0.405
O 0.973 0.405 0.564
O 0.794 0.562 0.181
O 0.294 0.438 0.819
O 0.579 0.599 0.858
O 0.079 0.142 0.401
O 0.579 0.858 0.599
Cl 0.602 0.231 0.011
Cl 0.602 0.011 0.231
Cl 0.102 0.989 0.769
Cl 0.102 0.769 0.989
K 0.405 0.136 0.577
K 0.405 0.577 0.136
K 0.725 0.879 0.879
K 0.225 0.121 0.121
K 0.905 0.423 0.864
K 0.905 0.864 0.423
Pd 0.751 0.248 0.248
Pd 0.251 0.752 0.752
H 0.479 0.511 0.511
H 0.979 0.489 0.489
CELL_PARAMETERS angstrom
7.017 0.000 0.000
0.000 9.167 0.002
0.000 -3.210 8.587
```

# K3HPtS2Cl2O6

K3HPtS2Cl2O6 after structural relaxation (PBEsol, Alexandria via LeMat-Bulk). Values from VASP.

Values from the calculation:
VASP energy = -5.366 eV/atom

```
&SYSTEM
  ibrav = 0, nat = 30, ntyp = 6
/
ATOMIC_SPECIES
S 32.06 S.upf
Pt 195.08 Pt.upf
O 16.00 O.upf
K 39.10 K.upf
Cl 35.45 Cl.upf
H 1.01 H.upf
ATOMIC_POSITIONS crystal
S 0.401 0.761 0.542
S 0.901 0.239 0.458
S 0.901 0.458 0.239
S 0.401 0.542 0.761
Pt 0.250 0.754 0.754
Pt 0.750 0.246 0.246
O 0.573 0.598 0.860
O 0.966 0.561 0.402
O 0.073 0.402 0.140
O 0.573 0.860 0.598
O 0.286 0.822 0.441
O 0.786 0.178 0.559
O 0.286 0.441 0.822
O 0.786 0.559 0.178
O 0.966 0.402 0.561
O 0.073 0.140 0.402
O 0.466 0.439 0.598
O 0.466 0.598 0.439
K 0.399 0.576 0.138
K 0.399 0.138 0.576
K 0.899 0.424 0.862
K 0.899 0.862 0.424
K 0.216 0.122 0.122
K 0.716 0.878 0.878
Cl 0.095 0.770 0.989
Cl 0.595 0.230 0.011
Cl 0.595 0.011 0.230
Cl 0.095 0.989 0.770
H 0.972 0.486 0.486
H 0.472 0.514 0.514
CELL_PARAMETERS angstrom
7.031 0.000 0.000
0.000 9.164 0.000
0.000 -3.180 8.595
```

# KHPdCl2

KHPdCl2 after structural relaxation (PBEsol, Alexandria via LeMat-Bulk). Values from VASP.

Values from the calculation:
VASP energy = -2.433 eV/atom

```
&SYSTEM
  ibrav = 0, nat = 5, ntyp = 4
/
ATOMIC_SPECIES
Pd 106.42 Pd.upf
Cl 35.45 Cl.upf
K 39.10 K.upf
H 1.01 H.upf
ATOMIC_POSITIONS crystal
Pd 0.500 0.500 0.500
Cl 0.000 0.000 0.500
Cl 0.000 0.500 0.000
K 0.000 0.000 0.000
H 0.500 0.000 0.000
CELL_PARAMETERS angstrom
4.177 0.000 0.000
0.000 5.499 0.000
0.000 0.000 5.499
```

# LaHSCl2

LaHSCl2 after structural relaxation (PBEsol, Alexandria via LeMat-Bulk). Values from VASP.

Values from the calculation:
VASP energy = -4.427 eV/atom

```
&SYSTEM
  ibrav = 0, nat = 5, ntyp = 4
/
ATOMIC_SPECIES
Cl 35.45 Cl.upf
La 138.91 La.upf
S 32.06 S.upf
H 1.01 H.upf
ATOMIC_POSITIONS crystal
Cl 0.000 0.000 0.500
Cl 0.000 0.500 0.000
La 0.500 0.500 0.500
S 0.500 0.000 0.000
H 0.000 0.000 0.000
CELL_PARAMETERS angstrom
4.181 0.000 0.000
0.000 4.520 0.000
0.000 0.000 4.520
```

# Li2HCl

Li2HCl after structural relaxation (PBEsol, Alexandria via LeMat-Bulk). Values from VASP.

Values from the calculation:
VASP energy = -3.354 eV/atom

```
&SYSTEM
  ibrav = 0, nat = 8, ntyp = 3
/
ATOMIC_SPECIES
Li 6.94 Li.upf
H 1.01 H.upf
Cl 35.45 Cl.upf
ATOMIC_POSITIONS crystal
Li 0.801 0.375 0.250
Li 0.125 0.199 0.750
Li 0.449 0.875 0.250
Li 0.625 0.551 0.750
H 0.750 0.250 0.500
H 0.500 0.500 0.000
Cl 0.000 0.000 0.000
Cl 0.250 0.750 0.500
CELL_PARAMETERS angstrom
4.906 0.000 0.000
0.000 4.906 0.000
-2.453 -2.453 4.821
```